BaCa2La | PBE-GGA | relaxed

Unit cell a=3.842 b=3.842 c=12.848 alpha=90.00 beta=90.00 gamma=109.90
Sites, in units of the cell vectors:
Ca 0.000 0.000 0.011
Ca 0.500 0.500 0.253
Ba 0.500 0.500 0.748
La 0.000 0.000 0.488

Results
* total magnetization: 0.000 μB per atom
* distance to the lowest polymorph of the same formula: 0.0393 eV per atom
* calculated formation energy: 0.1134 eV per atom
* raw total energy: -2.600 eV/atom